Record 1
DFT (PBE+U) results for a relaxed structure of Rb3CoCu2F9.

Unit cell a=5.901 b=5.901 c=7.202 alpha=90.00 beta=90.00 gamma=120.00
Atoms (fractional coordinates):
Rb 0.000 0.000 0.000
Rb 0.333 0.667 0.672
Rb 0.667 0.333 0.328
Co 0.000 0.000 0.500
Cu 0.333 0.667 0.164
Cu 0.667 0.333 0.836
F 0.000 0.500 0.000
F 0.162 0.325 0.342
F 0.162 0.838 0.342
F 0.325 0.162 0.658
F 0.500 0.000 0.000
F 0.500 0.500 0.000
F 0.675 0.838 0.342
F 0.838 0.162 0.658
F 0.838 0.675 0.658

---

Record 2
DFT (PBE+U) results for a relaxed structure of Rb2CoCuF6.

Unit cell a=5.887 b=5.887 c=5.887 alpha=119.46 beta=119.46 gamma=90.94
Atoms (fractional coordinates):
Rb 0.250 0.750 0.500
Rb 0.750 0.250 0.500
Co 0.000 0.000 0.000
Cu 0.500 0.500 0.000
F 0.240 0.240 0.479
F 0.240 0.760 0.000
F 0.265 0.265 0.000
F 0.735 0.735 0.000
F 0.760 0.240 0.000
F 0.760 0.760 0.521

---

Record 3
DFT (PBE+U) results for a relaxed structure of CoCuRhF6.

Unit cell a=4.809 b=4.809 c=9.751 alpha=90.00 beta=90.00 gamma=90.00
Atoms (fractional coordinates):
Co 0.000 0.000 0.000
Co 0.500 0.500 0.500
Cu 0.000 0.000 0.331
Cu 0.500 0.500 0.831
Rh 0.000 0.000 0.665
Rh 0.500 0.500 0.165
F 0.191 0.191 0.829
F 0.197 0.197 0.164
F 0.199 0.199 0.503
F 0.301 0.699 0.003
F 0.303 0.697 0.664
F 0.309 0.691 0.329
F 0.691 0.309 0.329
F 0.697 0.303 0.664
F 0.699 0.301 0.003
F 0.801 0.801 0.503
F 0.803 0.803 0.164
F 0.809 0.809 0.829

---

Record 4
DFT (PBE+U) results for a relaxed structure of CoCuRu2F.

Unit cell a=4.621 b=4.621 c=3.558 alpha=90.00 beta=90.00 gamma=90.00
Atoms (fractional coordinates):
Co 0.000 0.000 0.000
Cu 0.500 0.500 0.500
Ru 0.000 0.500 0.000
Ru 0.500 0.000 0.000
F 0.000 0.000 0.500

---

Record 5
DFT (PBE+U) results for a relaxed structure of SrCo2CuF8.

Unit cell a=5.035 b=6.633 c=5.042 alpha=90.00 beta=93.65 gamma=90.00
Atoms (fractional coordinates):
Sr 0.000 0.000 0.000
Co 0.500 0.267 0.500
Co 0.500 0.733 0.500
Cu 0.000 0.500 0.000
F 0.204 0.288 0.200
F 0.204 0.712 0.200
F 0.317 0.500 0.680
F 0.330 0.000 0.667
F 0.670 0.000 0.333
F 0.683 0.500 0.320
F 0.796 0.288 0.800
F 0.796 0.712 0.800

---

Record 6
DFT (PBE+U) results for a relaxed structure of SrCoCu2F8.

Unit cell a=6.572 b=6.572 c=6.572 alpha=131.86 beta=131.86 gamma=70.45
Atoms (fractional coordinates):
Sr 0.000 0.000 0.000
Co 0.250 0.750 0.500
Cu 0.500 0.500 0.000
Cu 0.750 0.250 0.500
F 0.005 0.026 0.409
F 0.285 0.450 0.570
F 0.285 0.715 0.165
F 0.404 0.995 0.021
F 0.550 0.119 0.835
F 0.617 0.596 0.591
F 0.881 0.715 0.430
F 0.974 0.383 0.979

---

Record 7
DFT (PBE+U) results for a relaxed structure of CoCuTeF2.

Unit cell a=3.838 b=3.838 c=5.746 alpha=90.00 beta=90.00 gamma=90.00
Atoms (fractional coordinates):
Co 0.000 0.000 0.000
Cu 0.500 0.500 0.500
Te 0.500 0.500 0.000
F 0.000 0.500 0.500
F 0.500 0.000 0.500

---

Record 8
DFT (PBE+U) results for a relaxed structure of Tl2CoCu2F6.

Unit cell a=6.171 b=6.171 c=6.984 alpha=121.88 beta=121.88 gamma=55.78
Atoms (fractional coordinates):
Tl 0.226 0.226 0.260
Tl 0.774 0.774 0.740
Co 0.000 0.000 0.500
Cu 0.419 0.419 0.087
Cu 0.581 0.581 0.913
F 0.207 0.702 0.659
F 0.232 0.232 0.773
F 0.298 0.793 0.341
F 0.702 0.207 0.659
F 0.768 0.768 0.227
F 0.793 0.298 0.341

---

Record 9
DFT (PBE+U) results for a relaxed structure of TlCoCuF6.

Unit cell a=5.253 b=5.253 c=6.014 alpha=90.00 beta=90.00 gamma=120.00
Atoms (fractional coordinates):
Tl 0.000 0.000 0.000
Co 0.667 0.333 0.500
Cu 0.333 0.667 0.500
F 0.384 0.026 0.675
F 0.384 0.358 0.325
F 0.642 0.026 0.325
F 0.642 0.616 0.675
F 0.974 0.358 0.675
F 0.974 0.616 0.325

---

Record 10
DFT (PBE+U) results for a relaxed structure of Tl2CoCu3F12.

Unit cell a=7.287 b=7.287 c=7.287 alpha=59.73 beta=59.73 gamma=59.73
Atoms (fractional coordinates):
Tl 0.118 0.118 0.118
Tl 0.882 0.882 0.882
Co 0.500 0.500 0.500
Cu 0.000 0.500 0.500
Cu 0.500 0.000 0.500
Cu 0.500 0.500 0.000
F 0.177 0.177 0.575
F 0.177 0.575 0.177
F 0.181 0.574 0.574
F 0.425 0.823 0.823
F 0.426 0.426 0.819
F 0.426 0.819 0.426
F 0.574 0.181 0.574
F 0.574 0.574 0.181
F 0.575 0.177 0.177
F 0.819 0.426 0.426
F 0.823 0.425 0.823
F 0.823 0.823 0.425

---

Record 11
DFT (PBE+U) results for a relaxed structure of Tl3Co2CuF9.

Unit cell a=5.929 b=5.929 c=7.254 alpha=90.00 beta=90.00 gamma=120.00
Atoms (fractional coordinates):
Tl 0.000 0.000 0.000
Tl 0.333 0.667 0.658
Tl 0.667 0.333 0.342
Co 0.333 0.667 0.165
Co 0.667 0.333 0.835
Cu 0.000 0.000 0.500
F 0.000 0.500 0.000
F 0.171 0.341 0.323
F 0.171 0.829 0.323
F 0.341 0.171 0.677
F 0.500 0.000 0.000
F 0.500 0.500 0.000
F 0.659 0.829 0.323
F 0.829 0.171 0.677
F 0.829 0.659 0.677

---

Record 12
DFT (PBE+U) results for a relaxed structure of TlCo2CuF8.

Unit cell a=4.941 b=6.648 c=4.959 alpha=90.00 beta=90.34 gamma=90.00
Atoms (fractional coordinates):
Tl 0.000 0.000 0.000
Co 0.500 0.263 0.500
Co 0.500 0.737 0.500
Cu 0.000 0.500 0.000
F 0.211 0.267 0.209
F 0.211 0.733 0.209
F 0.307 0.500 0.691
F 0.324 0.000 0.673
F 0.676 0.000 0.327
F 0.693 0.500 0.309
F 0.789 0.267 0.791
F 0.789 0.733 0.791

---

Number 1: M_tot 5.024 μB/f.u., total DFT energy (no corrections) -65.34 eV/cell. Number 2: M_tot 2.000 μB/f.u., total DFT energy (no corrections) -44.69 eV/cell. Number 3: M_tot 3.044 μB/f.u., total DFT energy (no corrections) -84.51 eV/cell. Number 4: M_tot 5.201 μB/f.u., total DFT energy (no corrections) -24.72 eV/cell. Number 5: M_tot 7.004 μB/f.u., total DFT energy (no corrections) -59.35 eV/cell. Number 6: M_tot 5.000 μB/f.u., total DFT energy (no corrections) -55.42 eV/cell. Number 7: M_tot 1.764 μB/f.u., total DFT energy (no corrections) -19.54 eV/cell. Number 8: M_tot 3.130 μB/f.u., total DFT energy (no corrections) -46.64 eV/cell. Number 9: M_tot 1.000 μB/f.u., total DFT energy (no corrections) -38.34 eV/cell. Number 10: M_tot 7.991 μB/f.u., total DFT energy (no corrections) -74.96 eV/cell. Number 11: M_tot 7.002 μB/f.u., total DFT energy (no corrections) -65.00 eV/cell. Number 12: M_tot 6.415 μB/f.u., total DFT energy (no corrections) -53.55 eV/cell.